Compound: Tm4Mg2N
Source: Alexandria
Functional: PBE
Structure: optimized geometry

Lattice parameters (Å, degrees): 8.523 8.523 8.523 147.43 147.43 46.72
Element x y z (fractional)
Tm  0.000  0.500  0.500
Tm  0.149  0.149  0.000
Tm  0.500  0.000  0.500
Tm  0.851  0.851  0.000
Mg  0.361  0.361  0.000
Mg  0.639  0.639  0.000
N  0.000  0.000  0.000

Space-group type: No. 139
Formation energy without anion corrections in kJ per mole of atoms: -32.2
Total DFT energy (no corrections) in eV/atom: -4.5334
Theoretical density in g/cm³: 6.86
Total magnetization in μB per formula unit: 0.00